GGA-PBE BeHg3, relaxed; raw total energy = -0.878 eV/atom; energy relative to the lowest polymorph listed for this composition = 62 meV/atom; space-group type = Pmm2, No. 25; ΔH_f (0 K) = 279.8 meV per atom; total moment = 0.00 μB per atom
1.0
2.938 0.000 0.000
0.000 3.646 0.000
0.000 0.000 8.363
Be Hg
1 3
Direct
0.000 0.000 0.000
0.000 0.500 0.458
0.500 0.000 0.747
0.500 0.500 0.113


GGA-PBE CaFe2Re, relaxed; raw total energy = -7.188 eV/atom; space-group type = Fm-3m, No. 225; ΔH_f (0 K) = 655.6 meV per atom; total moment = 0.29 μB per atom
1.0
6.151 0.000 0.000
0.000 6.151 0.000
0.000 0.000 6.151
Ca Fe Re
4 8 4
Direct
0.000 0.000 0.000
0.000 0.500 0.500
0.500 0.000 0.500
0.500 0.500 0.000
0.250 0.250 0.250
0.250 0.250 0.750
0.250 0.750 0.250
0.250 0.750 0.750
0.750 0.250 0.250
0.750 0.250 0.750
0.750 0.750 0.250
0.750 0.750 0.750
0.000 0.000 0.500
0.000 0.500 0.000
0.500 0.000 0.000
0.500 0.500 0.500


GGA-PBE ScRe4, relaxed; raw total energy = -8.660 eV/atom; energy relative to the lowest polymorph listed for this composition = 2417 meV/atom; space-group type = Pm-3m, No. 221; ΔH_f (0 K) = 2564.6 meV per atom; total moment = 0.01 μB per atom
1.0
4.481 0.000 0.000
0.000 4.481 0.000
0.000 0.000 4.481
Sc Re
1 4
Direct
0.000 0.000 0.000
0.000 0.000 0.500
0.000 0.500 0.000
0.500 0.000 0.000
0.500 0.500 0.500


GGA-PBE NpSi4Pd6, relaxed; raw total energy = -6.606 eV/atom; space-group type = P-6m2, No. 187; formation energy (no corrections) = -664 kJ/mol of formula units; total moment = 0.42 μB per atom
1.0
7.203 0.000 0.000
-3.602 6.238 0.000
0.000 0.000 3.850
Np Si Pd
1 4 6
Direct
0.000 0.000 0.000
0.333 0.667 0.000
0.383 0.191 0.500
0.809 0.191 0.500
0.809 0.617 0.500
0.199 0.399 0.500
0.199 0.801 0.500
0.535 0.070 0.000
0.535 0.465 0.000
0.601 0.801 0.500
0.930 0.465 0.000


GGA-PBE U2AlCo3Si4, relaxed; raw total energy = -7.463 eV/atom; space-group type = P-4m2, No. 115; formation energy (no corrections) = -512 kJ/mol of formula units; total moment = 0.25 μB per atom
1.0
3.901 0.000 0.000
0.000 3.901 0.000
0.000 0.000 9.867
U Al Co Si
2 1 3 4
Direct
0.000 0.500 0.238
0.500 0.000 0.762
0.000 0.000 0.500
0.000 0.500 0.875
0.500 0.000 0.125
0.500 0.500 0.500
0.000 0.000 0.000
0.000 0.500 0.647
0.500 0.000 0.353
0.500 0.500 0.000


GGA-PBE TlCdPb2, relaxed; raw total energy = -2.635 eV/atom; energy relative to the lowest polymorph listed for this composition = 23 meV/atom; space-group type = R3m, No. 160; ΔH_f (0 K) = 39.3 meV per atom; total moment = 0.00 μB per atom
1.0
3.486 0.000 0.000
-1.743 3.019 0.000
0.000 0.000 33.657
Tl Cd Pb
3 3 6
Direct
0.000 0.000 0.000
0.333 0.667 0.667
0.667 0.333 0.333
0.000 0.000 0.168
0.333 0.667 0.834
0.667 0.333 0.501
0.000 0.000 0.579
0.000 0.000 0.756
0.333 0.667 0.246
0.333 0.667 0.423
0.667 0.333 0.090
0.667 0.333 0.913


GGA-PBE Pr2MgPd2, relaxed; raw total energy = -4.999 eV/atom; space-group type = P4/mbm, No. 127; ΔH_f (0 K) = -690.7 meV per atom; total moment = 0.00 μB per atom
1.0
7.768 0.000 0.000
0.000 7.768 0.000
0.000 0.000 4.077
Pr Mg Pd
4 2 4
Direct
0.171 0.329 0.000
0.329 0.829 0.000
0.671 0.171 0.000
0.829 0.671 0.000
0.000 0.000 0.500
0.500 0.500 0.500
0.130 0.630 0.500
0.370 0.130 0.500
0.630 0.870 0.500
0.870 0.370 0.500


GGA-PBE KCr2Cl, relaxed; raw total energy = -5.410 eV/atom; energy relative to the lowest polymorph listed for this composition = 133 meV/atom; space-group type = Cm, No. 8; formation energy (no corrections) = 53 kJ/mol of formula units; total moment = 0.12 μB per atom
1.0
7.592 0.000 0.000
0.000 3.187 0.000
-2.465 0.000 7.889
K Cr Cl
2 4 2
Direct
0.000 0.000 0.000
0.500 0.500 0.000
0.158 0.000 0.658
0.393 0.000 0.516
0.658 0.500 0.658
0.893 0.500 0.516
0.296 0.500 0.259
0.796 0.000 0.259